YGeF3 after structural relaxation. Source: the Alexandria database, functional PBE-GGA.

CIF file:
```
data_YGeF3
_chemical_formula_sum 'Y1 Ge1 F3'
_space_group_name_H-M_alt 'P m -3 m'
_space_group_IT_number 221
_space_group_name_Hall '-P 4 2 3'
_cell_length_a 4.476
_cell_length_b 4.476
_cell_length_c 4.476
_cell_angle_alpha 90.00
_cell_angle_beta 90.00
_cell_angle_gamma 90.00
loop_
_atom_site_label
_atom_site_fract_x
_atom_site_fract_y
_atom_site_fract_z
_atom_site_occupancy
Y1 0.000 0.000 0.000 1
Ge1 0.500 0.500 0.500 1
F1 0.000 0.000 0.500 1
```

## Properties
- N(E_F): 3.00 states/eV per cell
- Formation energy (no corrections): -2.509 eV/atom
- Crystal system: cubic
- Calculated volume: 17.93 Å³ per atom
- ΔE to the lowest computed polymorph: 0 meV/atom